(1)
Computed, not measured: crystalline HfScAs2Br at its relaxed geometry at the PBE-GGA level of DFT.

a b c (Å): 5.1306 5.1306 4.8967
angles (deg): 90.00 90.00 90.00
Last column: nearest neighbours and their distance in Å.
Sites, in units of the cell vectors:
Hf 0.5000 0.5000 0.5000  8 As 3.55, 4 Br 3.63
As 0.5000 0.0000 0.0000  2 Sc 2.57
As 0.0000 0.5000 0.0000  2 Sc 2.57
Sc 0.0000 0.0000 0.0000  2 Br 2.45, 4 As 2.57
Br 0.0000 0.0000 0.5000  2 Sc 2.45

Computed properties:
Total moment = 0.445 μB/f.u.
Mass density = 5.84 g/cm³
Uncorrected formation energy = 0.136 eV per atom
Volume = 129 Å³/cell
ΔE to the lowest computed polymorph = 0.3373 eV per atom



(2)
Computed, not measured: crystalline HfScAs2Br at its relaxed geometry at the PBE-GGA level of DFT.

a b c (Å): 5.1733 5.1733 5.0899
angles (deg): 90.00 90.00 90.00
Last column: nearest neighbours and their distance in Å.
Sites, in units of the cell vectors:
As 0.5000 0.0000 0.0000  2 Hf 2.59
As 0.0000 0.5000 0.0000  2 Hf 2.59
Br 0.0000 0.0000 0.5000  2 Hf 2.54
Hf 0.0000 0.0000 0.0000  2 Br 2.54, 4 As 2.59
Sc 0.5000 0.5000 0.5000  8 As 3.63, 4 Br 3.66

Computed properties:
Total moment = 0.537 μB/f.u.
Mass density = 5.52 g/cm³
Uncorrected formation energy = -0.201 eV per atom
Volume = 136 Å³/cell
ΔE to the lowest computed polymorph = 0.0000 eV per atom



(3)
Computed, not measured: crystalline HfAs2SeBr at its relaxed geometry at the PBE-GGA level of DFT.

a b c (Å): 5.2563 5.2563 5.0293
angles (deg): 90.00 90.00 90.00
Last column: nearest neighbours and their distance in Å.
Sites, in units of the cell vectors:
Se 0.5000 0.5000 0.5000  8 As 3.64, 4 Br 3.72
As 0.5000 0.0000 0.0000  2 Hf 2.63
As 0.0000 0.5000 0.0000  2 Hf 2.63
Br 0.0000 0.0000 0.5000  2 Hf 2.51
Hf 0.0000 0.0000 0.0000  2 Br 2.51, 4 As 2.63

Computed properties:
Total moment = 0.000 μB/f.u.
Mass density = 5.82 g/cm³
Uncorrected formation energy = 0.168 eV per atom
Volume = 139 Å³/cell
ΔE to the lowest computed polymorph = 0.1356 eV per atom



(4)
Computed, not measured: crystalline HfAs2SeBr at its relaxed geometry at the PBE-GGA level of DFT.

a b c (Å): 4.9125 4.9125 5.1071
angles (deg): 90.00 90.00 90.00
Last column: nearest neighbours and their distance in Å.
Sites, in units of the cell vectors:
Br 0.0000 0.0000 0.0000  4 As 2.46, 2 Se 2.55
As 0.0000 0.5000 0.0000  2 Br 2.46
As 0.5000 0.0000 0.0000  2 Br 2.46
Se 0.0000 0.0000 0.5000  2 Br 2.55
Hf 0.5000 0.5000 0.5000  4 Se 3.47, 8 As 3.54

Computed properties:
Total moment = 0.000 μB/f.u.
Mass density = 6.56 g/cm³
Uncorrected formation energy = 0.984 eV per atom
Volume = 123 Å³/cell
ΔE to the lowest computed polymorph = 0.9525 eV per atom



(5)
Computed, not measured: crystalline HfAs2SeBr at its relaxed geometry at the PBE-GGA level of DFT.

a b c (Å): 5.0812 5.0812 4.8039
angles (deg): 90.00 90.00 90.00
Last column: nearest neighbours and their distance in Å.
Sites, in units of the cell vectors:
Br 0.0000 0.0000 0.5000  2 Se 2.40
Se 0.0000 0.0000 0.0000  2 Br 2.40, 4 As 2.54
As 0.5000 0.0000 0.0000  2 Se 2.54
As 0.0000 0.5000 0.0000  2 Se 2.54
Hf 0.5000 0.5000 0.5000  8 As 3.50, 4 Br 3.59

Computed properties:
Total moment = 0.000 μB/f.u.
Mass density = 6.52 g/cm³
Uncorrected formation energy = 0.777 eV per atom
Volume = 124 Å³/cell
ΔE to the lowest computed polymorph = 0.7452 eV per atom



(6)
Computed, not measured: crystalline HfAsSeBr2 at its relaxed geometry at the PBE-GGA level of DFT.

a b c (Å): 5.0991 5.0991 5.2956
angles (deg): 90.00 90.00 90.00
Last column: nearest neighbours and their distance in Å.
Sites, in units of the cell vectors:
Br 0.5000 0.0000 0.0000  2 Se 2.55
Br 0.0000 0.5000 0.0000  2 Se 2.55
As 0.0000 0.0000 0.5000  2 Se 2.65
Hf 0.5000 0.5000 0.5000  4 As 3.61, 8 Br 3.68
Se 0.0000 0.0000 0.0000  4 Br 2.55, 2 As 2.65

Computed properties:
Total moment = 1.294 μB/f.u.
Mass density = 5.94 g/cm³
Uncorrected formation energy = 0.802 eV per atom
Volume = 138 Å³/cell
ΔE to the lowest computed polymorph = 1.0386 eV per atom



(7)
Computed, not measured: crystalline HfAsSeBr2 at its relaxed geometry at the PBE-GGA level of DFT.

a b c (Å): 5.0777 5.0777 5.5088
angles (deg): 90.00 90.00 90.00
Last column: nearest neighbours and their distance in Å.
Sites, in units of the cell vectors:
Br 0.5000 0.0000 0.0000  2 Hf 2.54
Br 0.0000 0.5000 0.0000  2 Hf 2.54
As 0.0000 0.0000 0.5000  2 Hf 2.75
Se 0.5000 0.5000 0.5000  4 As 3.59, 8 Br 3.75
Hf 0.0000 0.0000 0.0000  4 Br 2.54, 2 As 2.75

Computed properties:
Total moment = 0.359 μB/f.u.
Mass density = 5.75 g/cm³
Uncorrected formation energy = -0.114 eV per atom
Volume = 142 Å³/cell
ΔE to the lowest computed polymorph = 0.1229 eV per atom



(8)
Computed, not measured: crystalline HfAsSe2Br at its relaxed geometry at the PBE-GGA level of DFT.

a b c (Å): 5.0719 5.0719 5.4447
angles (deg): 90.00 90.00 90.00
Last column: nearest neighbours and their distance in Å.
Sites, in units of the cell vectors:
As 0.0000 0.0000 0.5000  2 Hf 2.72
Hf 0.0000 0.0000 0.0000  4 Se 2.54, 2 As 2.72
Br 0.5000 0.5000 0.5000  4 As 3.59, 8 Se 3.72
Se 0.0000 0.5000 0.0000  2 Hf 2.54
Se 0.5000 0.0000 0.0000  2 Hf 2.54

Computed properties:
Total moment = 0.000 μB/f.u.
Mass density = 5.82 g/cm³
Uncorrected formation energy = -0.143 eV per atom
Volume = 140 Å³/cell
ΔE to the lowest computed polymorph = 0.0201 eV per atom



(9)
Computed, not measured: crystalline HfAsSe2Br at its relaxed geometry at the PBE-GGA level of DFT.

a b c (Å): 5.0361 5.0361 4.9644
angles (deg): 90.00 90.00 90.00
Last column: nearest neighbours and their distance in Å.
Sites, in units of the cell vectors:
Se 0.5000 0.0000 0.0000  2 Br 2.52
Se 0.0000 0.5000 0.0000  2 Br 2.52
As 0.0000 0.0000 0.5000  2 Br 2.48
Hf 0.5000 0.5000 0.5000  8 Se 3.54, 4 As 3.56
Br 0.0000 0.0000 0.0000  2 As 2.48, 4 Se 2.52

Computed properties:
Total moment = 0.000 μB/f.u.
Mass density = 6.48 g/cm³
Uncorrected formation energy = 0.948 eV per atom
Volume = 126 Å³/cell
ΔE to the lowest computed polymorph = 1.1113 eV per atom



(10)
Computed, not measured: crystalline HfAs2SeBr at its relaxed geometry at the PBE-GGA level of DFT.

a b c (Å): 5.2532 5.2532 5.0421
angles (deg): 90.00 90.00 90.00
Last column: nearest neighbours and their distance in Å.
Sites, in units of the cell vectors:
Se 0.0000 0.0000 0.5000  2 Hf 2.52
As 0.5000 0.0000 0.0000  2 Hf 2.63
As 0.0000 0.5000 0.0000  2 Hf 2.63
Hf 0.0000 0.0000 0.0000  2 Se 2.52, 4 As 2.63
Br 0.5000 0.5000 0.5000  8 As 3.64, 4 Se 3.71

Computed properties:
Total moment = 0.000 μB/f.u.
Mass density = 5.81 g/cm³
Uncorrected formation energy = 0.032 eV per atom
Volume = 139 Å³/cell
ΔE to the lowest computed polymorph = 0.0000 eV per atom



(11)
Computed, not measured: crystalline HfAsSeBr2 at its relaxed geometry at the PBE-GGA level of DFT.

a b c (Å): 5.1012 5.1012 5.3178
angles (deg): 90.00 90.00 90.00
Last column: nearest neighbours and their distance in Å.
Sites, in units of the cell vectors:
Hf 0.5000 0.5000 0.5000  4 Se 3.61, 8 Br 3.68
Se 0.0000 0.0000 0.5000  2 As 2.66
Br 0.5000 0.0000 0.0000  2 As 2.55
Br 0.0000 0.5000 0.0000  2 As 2.55
As 0.0000 0.0000 0.0000  4 Br 2.55, 2 Se 2.66

Computed properties:
Total moment = 1.626 μB/f.u.
Mass density = 5.91 g/cm³
Uncorrected formation energy = 0.568 eV per atom
Volume = 138 Å³/cell
ΔE to the lowest computed polymorph = 0.8047 eV per atom



(12)
Computed, not measured: crystalline HfAsSe2Br at its relaxed geometry at the PBE-GGA level of DFT.

a b c (Å): 5.0709 5.0709 4.9474
angles (deg): 90.00 90.00 90.00
Last column: nearest neighbours and their distance in Å.
Sites, in units of the cell vectors:
Br 0.0000 0.0000 0.5000  2 As 2.47
Hf 0.5000 0.5000 0.5000  8 Se 3.54, 4 Br 3.59
Se 0.0000 0.5000 0.0000  2 As 2.54
Se 0.5000 0.0000 0.0000  2 As 2.54
As 0.0000 0.0000 0.0000  2 Br 2.47, 4 Se 2.54

Computed properties:
Total moment = 1.042 μB/f.u.
Mass density = 6.41 g/cm³
Uncorrected formation energy = 0.488 eV per atom
Volume = 127 Å³/cell
ΔE to the lowest computed polymorph = 0.6512 eV per atom



(13)
Computed, not measured: crystalline HfAsSe2Br at its relaxed geometry at the PBE-GGA level of DFT.

a b c (Å): 5.2014 5.2014 5.2783
angles (deg): 90.00 90.00 90.00
Last column: nearest neighbours and their distance in Å.
Sites, in units of the cell vectors:
Br 0.0000 0.0000 0.5000  2 Hf 2.64
Hf 0.0000 0.0000 0.0000  4 Se 2.60, 2 Br 2.64
Se 0.5000 0.0000 0.0000  2 Hf 2.60
Se 0.0000 0.5000 0.0000  2 Hf 2.60
As 0.5000 0.5000 0.5000  4 Br 3.68, 8 Se 3.71

Computed properties:
Total moment = 2.047 μB/f.u.
Mass density = 5.71 g/cm³
Uncorrected formation energy = -0.163 eV per atom
Volume = 143 Å³/cell
ΔE to the lowest computed polymorph = 0.0000 eV per atom



(14)
Computed, not measured: crystalline HfAsSeBr2 at its relaxed geometry at the PBE-GGA level of DFT.

a b c (Å): 5.3605 5.3605 5.1594
angles (deg): 90.00 90.00 90.00
Last column: nearest neighbours and their distance in Å.
Sites, in units of the cell vectors:
As 0.5000 0.5000 0.5000  8 Br 3.72, 4 Se 3.79
Br 0.0000 0.5000 0.0000  2 Hf 2.68
Br 0.5000 0.0000 0.0000  2 Hf 2.68
Se 0.0000 0.0000 0.5000  2 Hf 2.58
Hf 0.0000 0.0000 0.0000  2 Se 2.58, 4 Br 2.68

Computed properties:
Total moment = 2.918 μB/f.u.
Mass density = 5.51 g/cm³
Uncorrected formation energy = -0.236 eV per atom
Volume = 148 Å³/cell
ΔE to the lowest computed polymorph = 0.0000 eV per atom



(15)
Computed, not measured: crystalline HfSnAs2Br at its relaxed geometry at the PBE-GGA level of DFT.

a b c (Å): 5.2060 5.2060 5.1655
angles (deg): 90.00 90.00 90.00
Last column: nearest neighbours and their distance in Å.
Sites, in units of the cell vectors:
Br 0.0000 0.0000 0.5000  2 Sn 2.58
Sn 0.0000 0.0000 0.0000  2 Br 2.58, 4 As 2.60
As 0.5000 0.0000 0.0000  2 Sn 2.60
As 0.0000 0.5000 0.0000  2 Sn 2.60
Hf 0.5000 0.5000 0.5000  8 As 3.67, 4 Br 3.68

Computed properties:
Total moment = 0.024 μB/f.u.
Mass density = 6.25 g/cm³
Uncorrected formation energy = 0.800 eV per atom
Volume = 140 Å³/cell
ΔE to the lowest computed polymorph = 0.9091 eV per atom



(16)
Computed, not measured: crystalline HfSnAs2Br at its relaxed geometry at the PBE-GGA level of DFT.

a b c (Å): 5.2165 5.2165 5.1962
angles (deg): 90.00 90.00 90.00
Last column: nearest neighbours and their distance in Å.
Sites, in units of the cell vectors:
Sn 0.5000 0.5000 0.5000  8 As 3.68, 4 Br 3.69
As 0.5000 0.0000 0.0000  2 Hf 2.61
As 0.0000 0.5000 0.0000  2 Hf 2.61
Hf 0.0000 0.0000 0.0000  2 Br 2.60, 4 As 2.61
Br 0.0000 0.0000 0.5000  2 Hf 2.60

Computed properties:
Total moment = 0.000 μB/f.u.
Mass density = 6.19 g/cm³
Uncorrected formation energy = -0.110 eV per atom
Volume = 141 Å³/cell
ΔE to the lowest computed polymorph = 0.0000 eV per atom



(17)
Computed, not measured: crystalline SrHfAsBr2 at its relaxed geometry at the PBE-GGA level of DFT.

a b c (Å): 5.5017 5.5017 6.2107
angles (deg): 90.00 90.00 90.00
Last column: nearest neighbours and their distance in Å.
Sites, in units of the cell vectors:
Sr 0.0000 0.0000 0.0000  4 Br 2.75
As 0.0000 0.0000 0.5000  2 Sr 3.11
Hf 0.5000 0.5000 0.5000  4 As 3.89, 8 Br 4.15
Br 0.0000 0.5000 0.0000  2 Sr 2.75
Br 0.5000 0.0000 0.0000  2 Sr 2.75

Computed properties:
Total moment = 0.913 μB/f.u.
Mass density = 4.42 g/cm³
Uncorrected formation energy = 0.193 eV per atom
Volume = 188 Å³/cell
ΔE to the lowest computed polymorph = 1.1134 eV per atom



(18)
Computed, not measured: crystalline SrHfAsBr2 at its relaxed geometry at the PBE-GGA level of DFT.

a b c (Å): 5.2510 5.2510 5.3070
angles (deg): 90.00 90.00 90.00
Last column: nearest neighbours and their distance in Å.
Sites, in units of the cell vectors:
Br 0.0000 0.5000 0.0000  2 Hf 2.63
Br 0.5000 0.0000 0.0000  2 Hf 2.63
Sr 0.5000 0.5000 0.5000  4 As 3.71, 8 Br 3.73
Hf 0.0000 0.0000 0.0000  4 Br 2.63, 2 As 2.65
As 0.0000 0.0000 0.5000  2 Hf 2.65

Computed properties:
Total moment = 0.000 μB/f.u.
Mass density = 5.68 g/cm³
Uncorrected formation energy = -0.920 eV per atom
Volume = 146 Å³/cell
ΔE to the lowest computed polymorph = 0.0000 eV per atom



(19)
Computed, not measured: crystalline SrHfAs2Br at its relaxed geometry at the PBE-GGA level of DFT.

a b c (Å): 5.5586 5.5586 5.3940
angles (deg): 90.00 90.00 90.00
Last column: nearest neighbours and their distance in Å.
Sites, in units of the cell vectors:
As 0.5000 0.0000 0.0000  2 Sr 2.78
As 0.0000 0.5000 0.0000  2 Sr 2.78
Sr 0.0000 0.0000 0.0000  2 Br 2.70, 4 As 2.78
Br 0.0000 0.0000 0.5000  2 Sr 2.70
Hf 0.5000 0.5000 0.5000  8 As 3.87, 4 Br 3.93

Computed properties:
Total moment = 0.522 μB/f.u.
Mass density = 4.94 g/cm³
Uncorrected formation energy = 0.762 eV per atom
Volume = 167 Å³/cell
ΔE to the lowest computed polymorph = 1.6050 eV per atom



(20)
Computed, not measured: crystalline Sr2HfAsBr at its relaxed geometry at the PBE-GGA level of DFT.

a b c (Å): 6.1715 5.0227 6.1715
angles (deg): 90.00 90.00 90.00
Last column: nearest neighbours and their distance in Å.
Sites, in units of the cell vectors:
As 0.0000 0.0000 0.0000  2 Hf 2.51
Br 0.5000 0.5000 0.5000  8 Sr 3.98, 4 Hf 4.36
Hf 0.0000 0.5000 0.0000  2 As 2.51
Sr 0.0000 0.0000 0.5000  2 As 3.09
Sr 0.5000 0.0000 0.0000  2 As 3.09

Computed properties:
Total moment = 1.922 μB/f.u.
Mass density = 4.41 g/cm³
Uncorrected formation energy = -0.389 eV per atom
Volume = 191 Å³/cell